PmTm7In4 | PBE | optimized geometry

Total DFT energy (no corrections) ... -47.87 eV per cell
Spin magnetization ... 0.00 μB per formula unit
Symmetry ... C2/m
Formation enthalpy at 0 K ... -0.072 eV/atom

Cell lengths 5.602, 9.178, 7.708 Å; angles 75.52, 68.69, 72.23 degrees
Fractional positions:
Tm (0.787, 0.875, 0.550)
Tm (0.500, 0.000, 0.000)
In (0.682, 0.666, 0.971)
Tm (0.213, 0.125, 0.450)
In (0.318, 0.334, 0.029)
In (0.437, 0.761, 0.364)
Tm (0.282, 0.658, 0.778)
Tm (0.718, 0.342, 0.222)
Tm (0.064, 0.602, 0.270)
In (0.563, 0.239, 0.636)
Tm (0.936, 0.398, 0.730)
Pm (0.000, 0.000, 0.000)